1.
A plane-wave DFT calculation with PBE was carried out for a relaxed structure of Cd3NiAu4.

Calculated values
Symmetry: P4/mmm
Uncorrected energy: -22.44 eV/cell
Formation energy: -0.100 eV/atom

Cell lengths 3.1838, 3.1838, 14.3750 Å; angles 90.00, 90.00, 90.00 degrees
Closest atoms and distances in Å follow each position.
Fractional positions:
Ni 0.5000 0.5000 0.0000  8 Au 2.69
Au 0.0000 0.0000 0.8981  4 Ni 2.69, 1 Au 2.93, 4 Cd 2.93
Au 0.0000 0.0000 0.1019  4 Ni 2.69, 1 Au 2.93, 4 Cd 2.93
Au 0.0000 0.0000 0.3666  8 Cd 2.96, 4 Au 3.18
Au 0.0000 0.0000 0.6334  8 Cd 2.96, 4 Au 3.18
Cd 0.5000 0.5000 0.2325  8 Au 2.93-2.96, 4 Cd 3.18
Cd 0.5000 0.5000 0.5000  8 Au 2.96, 4 Cd 3.18
Cd 0.5000 0.5000 0.7675  8 Au 2.93-2.96, 4 Cd 3.18



2.
A plane-wave DFT calculation with PBE was carried out for a relaxed structure of TbZn3Ga2.

Calculated values
Symmetry: C2/m
Uncorrected energy: -32.75 eV/cell
Formation energy: -0.311 eV/atom

Cell lengths 4.3577, 8.0183, 8.0119 Å; angles 56.10, 74.22, 74.23 degrees
Closest atoms and distances in Å follow each position.
Fractional positions:
Tb 0.8659 0.1335 0.1347  8 Zn 3.01-3.16, 6 Ga 3.09-3.26
Tb 0.1341 0.8665 0.8653  8 Zn 3.01-3.16, 6 Ga 3.09-3.26
Zn 0.3259 0.4691 0.8791  3 Ga 2.54-2.68
Zn 0.9998 0.3381 0.6623  1 Zn 2.44, 2 Ga 2.54
Zn 0.6736 0.1221 0.5307  3 Ga 2.54-2.67
Zn 0.3264 0.8779 0.4693  3 Ga 2.54-2.67
Zn 0.0002 0.6619 0.3377  1 Zn 2.44, 2 Ga 2.54
Zn 0.6741 0.5309 0.1209  3 Ga 2.54-2.68
Ga 0.4998 0.1647 0.8357  1 Ga 2.48, 4 Zn 2.54
Ga 0.5002 0.8353 0.1643  1 Ga 2.48, 4 Zn 2.54
Ga 0.8140 0.6860 0.6860  8 Zn 2.67-2.92
Ga 0.1860 0.3140 0.3140  8 Zn 2.67-2.92



3.
A plane-wave DFT calculation with PBE was carried out for a relaxed structure of BaAgH2Se.

Calculated values
Symmetry: P4/mmm
Uncorrected energy: -15.35 eV/cell

Cell lengths 4.2352, 7.5732, 4.2352 Å; angles 90.00, 90.00, 90.00 degrees
Closest atoms and distances in Å follow each position.
Fractional positions:
H 0.0000 0.0000 0.5000  2 Ag 2.12
H 0.5000 0.0000 0.0000  2 Ag 2.12
Se 0.5000 0.5000 0.5000  4 Ba 2.99
Ba 0.0000 0.5000 0.0000  4 Se 2.99
Ag 0.0000 0.0000 0.0000  4 H 2.12



4.
A plane-wave DFT calculation with PBE was carried out for a relaxed structure of CaLaMg2Sn2.

Calculated values
Symmetry: P-3m1
Uncorrected energy: -21.47 eV/cell
Formation energy: -0.557 eV/atom

Cell lengths 4.9880, 4.9880, 7.5415 Å; angles 90.00, 90.00, 120.00 degrees
Closest atoms and distances in Å follow each position.
Fractional positions:
Ca 0.0000 0.0000 0.5000  6 Mg 3.32, 6 Sn 3.42
La 0.0000 0.0000 0.0000  6 Sn 3.47, 6 Mg 3.58, 2 Ca 3.77
Mg 0.3333 0.6667 0.7180  3 Sn 2.89
Mg 0.6667 0.3333 0.2820  3 Sn 2.89
Sn 0.3333 0.6667 0.2566  3 Mg 2.89
Sn 0.6667 0.3333 0.7434  3 Mg 2.89



5.
A plane-wave DFT calculation with PBE was carried out for a relaxed structure of NaPdRhO3.

Calculated values
Symmetry: Cmcm
Energy relative to the elements, uncorrected: -0.58 eV per atom
Uncorrected energy: -64.40 eV/cell

Cell lengths 3.1092, 6.7648, 8.2124 Å; angles 90.00, 90.00, 103.29 degrees
Closest atoms and distances in Å follow each position.
Fractional positions:
Na 0.6689 0.3378 0.7500  4 O 2.31
Na 0.3311 0.6622 0.2500  4 O 2.31
Pd 0.3800 0.7599 0.7500  2 O 1.98
Pd 0.6200 0.2401 0.2500  2 O 1.98
Rh 0.0000 0.0000 0.5000  6 O 2.06-2.12
Rh 0.0000 0.0000 0.0000  6 O 2.06-2.12
O 0.6022 0.2044 0.4895  1 Pd 1.98, 2 Rh 2.06
O 0.3978 0.7956 0.5105  1 Pd 1.98, 2 Rh 2.06
O 0.3978 0.7956 0.9895  1 Pd 1.98, 2 Rh 2.06
O 0.6022 0.2044 0.0105  1 Pd 1.98, 2 Rh 2.06
O 0.0394 0.0788 0.7500  2 Rh 2.12, 2 Na 2.31
O 0.9606 0.9212 0.2500  2 Rh 2.12, 2 Na 2.31



6.
A plane-wave DFT calculation with PBE was carried out for a relaxed structure of BaTiBi2Pb.

Calculated values
Symmetry: P4/mmm
Uncorrected energy: -22.75 eV/cell
Formation energy: -0.292 eV/atom

Cell lengths 5.5680, 5.5680, 5.4643 Å; angles 90.00, 90.00, 90.00 degrees
Closest atoms and distances in Å follow each position.
Fractional positions:
Pb 0.0000 0.0000 0.5000  2 Ti 2.73
Ti 0.0000 0.0000 0.0000  2 Pb 2.73, 4 Bi 2.78
Bi 0.0000 0.5000 0.0000  2 Ti 2.78
Bi 0.5000 0.0000 0.0000  2 Ti 2.78
Ba 0.5000 0.5000 0.5000  8 Bi 3.90, 4 Pb 3.94



7.
A plane-wave DFT calculation with PBE was carried out for a relaxed structure of Zr2Hg2Ge.

Calculated values
Symmetry: P4/mbm
Uncorrected energy: -46.15 eV/cell
Formation energy: -0.151 eV/atom

Cell lengths 7.1413, 7.1413, 4.5097 Å; angles 90.00, 90.00, 90.00 degrees
Closest atoms and distances in Å follow each position.
Fractional positions:
Ge 0.0000 0.0000 0.0000  4 Zr 2.69
Ge 0.5000 0.5000 0.0000  4 Zr 2.69
Hg 0.1484 0.6484 0.5000  6 Zr 2.99-3.14, 1 Hg 3.00
Hg 0.6484 0.8516 0.5000  6 Zr 2.99-3.14, 1 Hg 3.00
Hg 0.8516 0.3515 0.5000  6 Zr 2.99-3.14, 1 Hg 3.00
Hg 0.3515 0.1484 0.5000  6 Zr 2.99-3.14, 1 Hg 3.00
Zr 0.3424 0.8424 0.0000  2 Ge 2.69, 2 Hg 2.99
Zr 0.8424 0.6576 0.0000  2 Ge 2.69, 2 Hg 2.99
Zr 0.6576 0.1576 0.0000  2 Ge 2.69, 2 Hg 2.99
Zr 0.1576 0.3424 0.0000  2 Ge 2.69, 2 Hg 2.99



8.
A plane-wave DFT calculation with PBE was carried out for a relaxed structure of CsCe4Pd3S12.

Calculated values
Symmetry: Im-3
Energy relative to the elements, uncorrected: -1.09 eV per atom
Uncorrected energy: -111.57 eV/cell

Cell lengths 8.6312, 8.6312, 8.6312 Å; angles 109.47, 109.47, 109.47 degrees
Closest atoms and distances in Å follow each position.
Fractional positions:
Cs 0.0000 0.0000 0.0000  12 S 3.63
Ce 0.5000 0.0000 0.0000  6 S 2.75
Ce 0.5000 0.5000 0.5000  6 S 2.75
Ce 0.0000 0.5000 0.0000  6 S 2.75
Ce 0.0000 0.0000 0.5000  6 S 2.75
Pd 0.0000 0.5000 0.5000  4 S 2.37
Pd 0.5000 0.5000 0.0000  4 S 2.37
Pd 0.5000 0.0000 0.5000  4 S 2.37
S 0.3265 0.8380 0.1646  1 Pd 2.37
S 0.6735 0.1620 0.8354  1 Pd 2.37
S 0.6735 0.8380 0.5115  1 Pd 2.37
S 0.8354 0.6735 0.1620  1 Pd 2.37
S 0.8380 0.1646 0.3265  1 Pd 2.37
S 0.1620 0.4885 0.3265  1 Pd 2.37
S 0.4885 0.3265 0.1620  1 Pd 2.37
S 0.1620 0.8354 0.6735  1 Pd 2.37
S 0.3265 0.1620 0.4885  1 Pd 2.37
S 0.1646 0.3265 0.8380  1 Pd 2.37
S 0.8380 0.5115 0.6735  1 Pd 2.37
S 0.5115 0.6735 0.8380  1 Pd 2.37



9.
A plane-wave DFT calculation with PBE was carried out for a relaxed structure of MgTlRhPb2.

Calculated values
Symmetry: P4/mmm
Uncorrected energy: -18.86 eV/cell
Formation energy: -0.027 eV/atom

Cell lengths 5.2882, 5.2882, 5.0675 Å; angles 90.00, 90.00, 90.00 degrees
Closest atoms and distances in Å follow each position.
Fractional positions:
Pb 0.0000 0.5000 0.0000  2 Rh 2.64
Pb 0.5000 0.0000 0.0000  2 Rh 2.64
Tl 0.5000 0.5000 0.5000  8 Pb 3.66, 4 Mg 3.74
Rh 0.0000 0.0000 0.0000  2 Mg 2.53, 4 Pb 2.64
Mg 0.0000 0.0000 0.5000  2 Rh 2.53



10.
A plane-wave DFT calculation with PBE was carried out for a relaxed structure of Tb4PmTm4.

Calculated values
Symmetry: I4/mmm
Uncorrected energy: -40.97 eV/cell
Formation energy: 0.021 eV/atom

Cell lengths 4.9842, 7.9157, 7.9157 Å; angles 84.31, 71.65, 71.65 degrees
Closest atoms and distances in Å follow each position.
Fractional positions:
Tb 0.6672 0.3328 0.3328  6 Tm 3.53-3.54, 1 Pm 3.54, 5 Tb 3.54-3.55
Tb 0.3328 0.6672 0.6672  6 Tm 3.53-3.54, 1 Pm 3.54, 5 Tb 3.54-3.55
Tb 0.0000 0.6672 0.3328  6 Tm 3.53-3.54, 1 Pm 3.54, 5 Tb 3.54-3.55
Tb 0.0000 0.3328 0.6672  6 Tm 3.53-3.54, 1 Pm 3.54, 5 Tb 3.54-3.55
Pm 0.0000 0.0000 0.0000  4 Tb 3.54, 8 Tm 3.54
Tm 0.6673 0.6655 0.0000  4 Tm 3.52-3.55, 6 Tb 3.53-3.54, 2 Pm 3.54
Tm 0.3327 0.3345 0.0000  4 Tm 3.52-3.55, 6 Tb 3.53-3.54, 2 Pm 3.54
Tm 0.6672 0.0000 0.6655  4 Tm 3.52-3.55, 6 Tb 3.53-3.54, 2 Pm 3.54
Tm 0.3328 0.0000 0.3345  4 Tm 3.52-3.55, 6 Tb 3.53-3.54, 2 Pm 3.54



11.
A plane-wave DFT calculation with PBE was carried out for a relaxed structure of Li2NiAs.

Calculated values
Symmetry: I-42d
Uncorrected energy: -29.46 eV/cell
Formation energy: -0.118 eV/atom

Cell lengths 7.2061, 7.2061, 5.5855 Å; angles 49.83, 49.83, 90.00 degrees
Closest atoms and distances in Å follow each position.
Fractional positions:
Ni 0.5000 0.5000 0.0000  2 As 2.29, 4 Li 2.52
Ni 0.2500 0.7500 0.5000  2 As 2.29, 4 Li 2.52
As 0.0000 0.0000 0.0000  2 Ni 2.29
As 0.7500 0.2500 0.5000  2 Ni 2.29
Li 0.6065 0.1250 0.2500  2 Li 2.30, 2 Ni 2.52
Li 0.1435 0.6250 0.2500  2 Li 2.30, 2 Ni 2.52
Li 0.3750 0.3935 0.7500  2 Li 2.30, 2 Ni 2.52
Li 0.8750 0.8565 0.7500  2 Li 2.30, 2 Ni 2.52



| no. | calculated volume (Å³/cell) | M_tot (μB per cell) |
| --- | --- | --- |
| 1 | 146 | 0.00 |
| 2 | 221 | 0.00 |
| 3 | 136 | 0.00 |
| 4 | 162 | 0.00 |
| 5 | 168 | 0.27 |
| 6 | 169 | 0.00 |
| 7 | 230 | 0.00 |
| 8 | 495 | 0.00 |
| 9 | 142 | 0.00 |
| 10 | 281 | 0.00 |
| 11 | 119 | 0.00 |